[1]
# FeBIr3 PBE optimized geometry
data_FeBIr3
_chemical_formula_sum 'Fe1 B1 Ir3'
_cell_length_a 4.422
_cell_length_b 4.422
_cell_length_c 4.422
_cell_angle_alpha 90.00
_cell_angle_beta 90.00
_cell_angle_gamma 90.00
_space_group_name_H-M_alt 'P 1'
_space_group_IT_number 1
loop_
_space_group_symop_operation_xyz
'x,y,z'
loop_
_atom_site_label
_atom_site_fract_x
_atom_site_fract_y
_atom_site_fract_z
B1 0.500 0.500 0.500
Ir1 0.000 0.500 0.000
Ir2 0.000 0.000 0.500
Ir3 0.500 0.000 0.000
Fe1 0.000 0.000 0.000
# V	86.5	Å³ per cell
# E_tot	-30.47	eV per cell
# size of the total moment	0.00	μB per cell
# excess energy over the best structure of this formula in the dataset	2249.1	meV per atom
# N(E_F)	6.7	states/eV/f.u.
# calculated formation energy	2252	meV/atom

***

[2]
# Tl3PbAu3 PBE optimized geometry
data_Tl3PbAu3
_chemical_formula_sum 'Tl6 Pb2 Au6'
_cell_length_a 7.840
_cell_length_b 7.840
_cell_length_c 7.840
_cell_angle_alpha 90.00
_cell_angle_beta 90.00
_cell_angle_gamma 90.00
_space_group_name_H-M_alt 'P 1'
_space_group_IT_number 1
loop_
_space_group_symop_operation_xyz
'x,y,z'
loop_
_atom_site_label
_atom_site_fract_x
_atom_site_fract_y
_atom_site_fract_z
Pb1 0.500 0.500 0.500
Pb2 0.000 0.000 0.000
Tl1 0.250 0.000 0.500
Tl2 0.000 0.500 0.250
Tl3 0.500 0.750 0.000
Tl4 0.750 0.000 0.500
Tl5 0.000 0.500 0.750
Tl6 0.500 0.250 0.000
Au1 0.000 0.250 0.500
Au2 0.000 0.750 0.500
Au3 0.500 0.000 0.750
Au4 0.750 0.500 0.000
Au5 0.500 0.000 0.250
Au6 0.250 0.500 0.000
# V	481.9	Å³ per cell
# E_tot	-36.43	eV per cell
# size of the total moment	0.00	μB per cell
# excess energy over the best structure of this formula in the dataset	322.3	meV per atom
# N(E_F)	2.8	states/eV/f.u.
# calculated formation energy	346	meV/atom

***

[3]
# Ac3Al6Pd5 PBE optimized geometry
data_Ac3Al6Pd5
_chemical_formula_sum 'Ac6 Al12 Pd10'
_cell_length_a 4.312
_cell_length_b 10.764
_cell_length_c 13.025
_cell_angle_alpha 90.00
_cell_angle_beta 90.00
_cell_angle_gamma 90.00
_space_group_name_H-M_alt 'P 1'
_space_group_IT_number 1
loop_
_space_group_symop_operation_xyz
'x,y,z'
loop_
_atom_site_label
_atom_site_fract_x
_atom_site_fract_y
_atom_site_fract_z
Ac1 0.000 0.247 0.662
Ac2 0.500 0.753 0.162
Ac3 0.500 0.753 0.838
Ac4 0.000 0.261 0.000
Ac5 0.500 0.739 0.500
Ac6 0.000 0.247 0.338
Al1 0.000 0.007 0.830
Al2 0.500 0.993 0.670
Al3 0.500 0.422 0.805
Al4 0.500 0.513 0.000
Al5 0.000 0.487 0.500
Al6 0.000 0.578 0.695
Al7 0.000 0.578 0.305
Al8 0.500 0.012 0.000
Al9 0.000 0.007 0.170
Al10 0.500 0.422 0.195
Al11 0.000 0.988 0.500
Al12 0.500 0.993 0.330
Pd1 0.000 0.528 0.889
Pd2 0.000 0.855 0.670
Pd3 0.000 0.887 0.000
Pd4 0.500 0.472 0.611
Pd5 0.500 0.113 0.500
Pd6 0.000 0.528 0.111
Pd7 0.500 0.472 0.389
Pd8 0.000 0.855 0.330
Pd9 0.500 0.145 0.830
Pd10 0.500 0.145 0.170
# V	604.5	Å³ per cell
# E_tot	-142.83	eV per cell
# size of the total moment	0.00	μB per cell
# N(E_F)	6.7	states/eV/f.u.
# calculated formation energy	-762	meV/atom

***

[4]
# K2RbHgSe2 PBE optimized geometry
data_K2RbHgSe2
_chemical_formula_sum 'K4 Rb2 Hg2 Se4'
_cell_length_a 5.081
_cell_length_b 7.688
_cell_length_c 14.082
_cell_angle_alpha 90.00
_cell_angle_beta 90.00
_cell_angle_gamma 90.00
_space_group_name_H-M_alt 'P 1'
_space_group_IT_number 1
loop_
_space_group_symop_operation_xyz
'x,y,z'
loop_
_atom_site_label
_atom_site_fract_x
_atom_site_fract_y
_atom_site_fract_z
K1 0.500 0.076 0.213
K2 0.000 0.576 0.287
K3 0.500 0.924 0.787
K4 0.000 0.424 0.713
Rb1 0.500 0.500 0.000
Rb2 0.000 0.000 0.500
Hg1 0.000 0.000 0.000
Hg2 0.500 0.500 0.500
Se1 0.500 0.773 0.375
Se2 0.500 0.227 0.625
Se3 0.000 0.727 0.875
Se4 0.000 0.273 0.125
# V	550.1	Å³ per cell
# E_tot	-29.86	eV per cell
# size of the total moment	0.00	μB per cell
# energy relative to the elements, uncorrected	-0.75	eV per atom
# N(E_F)	3.9	states/eV/f.u.

***

[5]
# K3Pr2BiSe6 PBE optimized geometry
data_K3Pr2BiSe6
_chemical_formula_sum 'K3 Pr2 Bi1 Se6'
_cell_length_a 7.557
_cell_length_b 7.557
_cell_length_c 8.121
_cell_angle_alpha 98.92
_cell_angle_beta 98.92
_cell_angle_gamma 120.00
_space_group_name_H-M_alt 'P 1'
_space_group_IT_number 1
loop_
_space_group_symop_operation_xyz
'x,y,z'
loop_
_atom_site_label
_atom_site_fract_x
_atom_site_fract_y
_atom_site_fract_z
K1 0.166 0.834 0.500
K2 0.834 0.166 0.500
K3 0.500 0.500 0.500
Pr1 0.333 0.667 0.000
Pr2 0.667 0.333 0.000
Bi1 0.000 0.000 0.000
Se1 0.929 0.598 0.788
Se2 0.739 0.739 0.212
Se3 0.071 0.402 0.212
Se4 0.598 0.929 0.788
Se5 0.261 0.261 0.788
Se6 0.402 0.071 0.212
# V	381.8	Å³ per cell
# E_tot	-54.85	eV per cell
# size of the total moment	0.00	μB per cell
# energy relative to the elements, uncorrected	-1.43	eV per atom
# N(E_F)	0.0	states/eV/f.u.

***

[6]
# Er4InIr2 PBE optimized geometry
data_Er4InIr2
_chemical_formula_sum 'Er4 In1 Ir2'
_cell_length_a 4.599
_cell_length_b 4.599
_cell_length_c 10.184
_cell_angle_alpha 76.95
_cell_angle_beta 76.95
_cell_angle_gamma 60.00
_space_group_name_H-M_alt 'P 1'
_space_group_IT_number 1
loop_
_space_group_symop_operation_xyz
'x,y,z'
loop_
_atom_site_label
_atom_site_fract_x
_atom_site_fract_y
_atom_site_fract_z
Er1 0.392 0.392 0.824
Er2 0.201 0.201 0.398
Er3 0.799 0.799 0.602
Er4 0.608 0.608 0.176
In1 0.000 0.000 0.000
Ir1 0.098 0.098 0.707
Ir2 0.902 0.902 0.293
# V	180.1	Å³ per cell
# E_tot	-43.20	eV per cell
# size of the total moment	0.00	μB per cell
# N(E_F)	5.6	states/eV/f.u.
# calculated formation energy	-641	meV/atom

***

[7]
# Ca3Cr2N4 PBE optimized geometry
data_Ca3Cr2N4
_chemical_formula_sum 'Ca12 Cr8 N16'
_cell_length_a 5.608
_cell_length_b 9.668
_cell_length_c 9.098
_cell_angle_alpha 90.00
_cell_angle_beta 90.00
_cell_angle_gamma 90.00
_space_group_name_H-M_alt 'P 1'
_space_group_IT_number 1
loop_
_space_group_symop_operation_xyz
'x,y,z'
loop_
_atom_site_label
_atom_site_fract_x
_atom_site_fract_y
_atom_site_fract_z
Ca1 0.618 0.156 0.418
Ca2 0.882 0.844 0.418
Ca3 0.618 0.344 0.082
Ca4 0.882 0.656 0.082
Ca5 0.382 0.844 0.582
Ca6 0.118 0.156 0.582
Ca7 0.382 0.656 0.918
Ca8 0.118 0.344 0.918
Ca9 0.750 0.500 0.403
Ca10 0.750 0.000 0.097
Ca11 0.250 0.500 0.597
Ca12 0.250 0.000 0.903
Cr1 0.750 0.500 0.735
Cr2 0.750 0.000 0.765
Cr3 0.250 0.500 0.265
Cr4 0.250 0.000 0.235
Cr5 0.652 0.250 0.750
Cr6 0.848 0.750 0.750
Cr7 0.348 0.750 0.250
Cr8 0.152 0.250 0.250
N1 0.870 0.352 0.625
N2 0.630 0.648 0.625
N3 0.870 0.148 0.875
N4 0.630 0.852 0.875
N5 0.130 0.648 0.375
N6 0.370 0.352 0.375
N7 0.130 0.852 0.125
N8 0.370 0.148 0.125
N9 0.507 0.412 0.837
N10 0.993 0.588 0.837
N11 0.507 0.088 0.663
N12 0.993 0.912 0.663
N13 0.493 0.588 0.163
N14 0.007 0.412 0.163
N15 0.493 0.912 0.337
N16 0.007 0.088 0.337
# V	493.3	Å³ per cell
# E_tot	-264.34	eV per cell
# size of the total moment	1.42	μB per cell
# excess energy over the best structure of this formula in the dataset	0.0	meV per atom
# energy relative to the elements, uncorrected	-0.84	eV per atom
# N(E_F)	3.6	states/eV/f.u.

***

[8]
# RbHgCl2 PBE optimized geometry
data_RbHgCl2
_chemical_formula_sum 'Rb2 Hg2 Cl4'
_cell_length_a 6.027
_cell_length_b 5.879
_cell_length_c 8.709
_cell_angle_alpha 90.92
_cell_angle_beta 110.24
_cell_angle_gamma 90.00
_space_group_name_H-M_alt 'P 1'
_space_group_IT_number 1
loop_
_space_group_symop_operation_xyz
'x,y,z'
loop_
_atom_site_label
_atom_site_fract_x
_atom_site_fract_y
_atom_site_fract_z
Rb1 0.542 0.919 0.571
Rb2 0.042 0.419 0.571
Hg1 0.042 0.919 0.071
Hg2 0.042 0.419 0.071
Cl1 0.127 0.923 0.782
Cl2 0.958 0.914 0.360
Cl3 0.416 0.414 0.360
Cl4 0.669 0.423 0.782
# V	289.5	Å³ per cell
# E_tot	-18.29	eV per cell
# size of the total moment	0.00	μB per cell
# excess energy over the best structure of this formula in the dataset	0.0	meV per atom
# energy relative to the elements, uncorrected	-1.05	eV per atom
# N(E_F)	1.9	states/eV/f.u.

***

[9]
# Al4TlBr PBE optimized geometry
data_Al4TlBr
_chemical_formula_sum 'Al4 Tl1 Br1'
_cell_length_a 5.758
_cell_length_b 5.758
_cell_length_c 5.758
_cell_angle_alpha 60.00
_cell_angle_beta 60.00
_cell_angle_gamma 60.00
_space_group_name_H-M_alt 'P 1'
_space_group_IT_number 1
loop_
_space_group_symop_operation_xyz
'x,y,z'
loop_
_atom_site_label
_atom_site_fract_x
_atom_site_fract_y
_atom_site_fract_z
Al1 0.878 0.374 0.374
Al2 0.374 0.374 0.878
Al3 0.374 0.878 0.374
Al4 0.374 0.374 0.374
Tl1 0.000 0.000 0.000
Br1 0.750 0.750 0.750
# V	135.0	Å³ per cell
# E_tot	-17.79	eV per cell
# size of the total moment	0.00	μB per cell
# energy relative to the elements, uncorrected	0.20	eV per atom
# N(E_F)	4.3	states/eV/f.u.

***

[10]
# LiCa2Al4Zn3 PBE optimized geometry
data_LiCa2Al4Zn3
_chemical_formula_sum 'Li1 Ca2 Al4 Zn3'
_cell_length_a 4.174
_cell_length_b 4.174
_cell_length_c 11.479
_cell_angle_alpha 90.00
_cell_angle_beta 90.00
_cell_angle_gamma 90.00
_space_group_name_H-M_alt 'P 1'
_space_group_IT_number 1
loop_
_space_group_symop_operation_xyz
'x,y,z'
loop_
_atom_site_label
_atom_site_fract_x
_atom_site_fract_y
_atom_site_fract_z
Li1 0.500 0.500 0.500
Ca1 0.500 0.000 0.242
Ca2 0.000 0.500 0.758
Al1 0.500 0.500 0.000
Al2 0.000 0.000 0.000
Al3 0.500 0.000 0.641
Al4 0.000 0.500 0.359
Zn1 0.000 0.000 0.500
Zn2 0.500 0.000 0.862
Zn3 0.000 0.500 0.138
# V	200.0	Å³ per cell
# E_tot	-26.80	eV per cell
# size of the total moment	0.00	μB per cell
# N(E_F)	5.8	states/eV/f.u.
# calculated formation energy	-209	meV/atom